[1]
Density functional theory data (PBE-GGA) for a relaxed structure of Sm4HoEr5.

abc: 3.5106 8.7136 11.0981
angles: 89.96 89.99 78.43
Closest atoms and distances in Å follow each position.
Space group P-1 (No. 2)
Symmetry-distinct sites (fractional):
Sm 0.0302 0.4389 0.2497 [2 per cell]  4 Er 3.29-3.32, 2 Ho 3.33, 4 Sm 3.51-3.63
Sm 0.3452 0.8104 0.2499 [2 per cell]  4 Sm 3.51-3.63, 7 Er 3.66-3.84, 1 Ho 3.84
Ho 0.5000 0.5000 0.5000 [1 per cell]  4 Sm 3.33, 4 Er 3.49-3.50, 2 Ho 3.51
Er 0.1732 0.1528 0.0509 [2 per cell]  2 Sm 3.29-3.66, 6 Er 3.34-3.51
Er 0.1736 0.1525 0.4486 [2 per cell]  2 Sm 3.29-3.66, 4 Er 3.34-3.51, 2 Ho 3.49-3.50
Er 0.5000 0.5000 0.0000 [1 per cell]  4 Sm 3.32, 6 Er 3.49-3.51

Output
DFT formation energy, eV per atom: 0.192

***

[2]
Density functional theory data (PBE-GGA) for a relaxed structure of Sm19Ho4Er6.

abc: 12.5644 12.5644 12.5644
angles: 90.00 90.00 90.00
Closest atoms and distances in Å follow each position.
Space group I23 (No. 197)
Symmetry-distinct sites (fractional):
Sm 0.0000 0.0000 0.0000 [2 per cell]  6 Sm 3.28
Sm 0.0000 0.0000 0.2610 [12 per cell]  5 Sm 3.28-3.60, 2 Ho 3.35, 2 Er 3.39
Sm 0.0624 0.2798 0.7371 [24 per cell]  1 Er 3.20, 2 Ho 3.36-3.45, 1 Sm 3.40
Ho 0.1795 0.1795 0.1795 [8 per cell]  9 Sm 3.35-3.45
Er 0.0000 0.1254 0.5000 [12 per cell]  1 Er 3.15, 4 Sm 3.20-3.39

Output
DFT formation energy, eV per atom: 0.376